1.
Compound: Ce2PuAu8
Source: Alexandria via LeMat-Bulk
Functional: GGA-PBE
Structure: relaxed

Cell lengths 8.002, 15.405, 5.251 Å; angles 90.00, 130.33, 90.00 degrees
Space group C2/m (No. 12)
Unique sites:
Ce: 0.000 0.184 0.000
Pu: 0.000 0.500 0.500
Au: 0.000 0.299 0.500
Au: 0.004 0.000 0.754
Au: 0.228 0.367 0.234

Summary:
Energy relative to the elements = -0.53 eV/atom
ρ = 14.1 g/cm3

2.
Compound: Ce5PuAu6
Source: Alexandria via LeMat-Bulk
Functional: GGA-PBE
Structure: relaxed

Cell lengths 16.358, 7.389, 5.224 Å; angles 90.00, 108.39, 90.00 degrees
Space group C2/m (No. 12)
Unique sites:
Ce: 0.000 0.000 0.000
Ce: 0.152 0.500 0.656
Ce: 0.176 0.000 0.680
Pu: 0.000 0.500 0.000
Au: 0.000 0.224 0.500
Au: 0.167 0.238 0.172

Summary:
Energy relative to the elements = -0.57 eV/atom
ρ = 11.8 g/cm3

3.
Compound: Ce3Pu2Au3
Source: Alexandria via LeMat-Bulk
Functional: GGA-PBE
Structure: relaxed

Cell lengths 3.879, 14.245, 15.649 Å; angles 90.00, 90.00, 90.00 degrees
Space group Cmcm (No. 63)
Unique sites:
Ce: 0.000 0.041 0.124
Ce: 0.000 0.337 0.250
Pu: 0.000 0.241 0.592
Au: 0.000 0.366 0.750
Au: 0.000 0.407 0.037

Summary:
Energy relative to the elements = -0.34 eV/atom
ρ = 11.5 g/cm3